First-principles (PBE-GGA) data for a geometry-optimized Ga2Pd2Pt5 structure, as listed in Alexandria via LeMat-Bulk.

Values from the calculation:
Calculated formation energy   -0.22 eV/atom
VASP energy   -5.406 eV/atom
Energy above the lowest structure with this stoichiometry   0.000 eV/atom

```
data_Ga2Pd2Pt5
_chemical_formula_sum 'Ga4 Pd4 Pt10'
_cell_length_a 8.876
_cell_length_b 5.115
_cell_length_c 8.266
_cell_angle_alpha 108.02
_cell_angle_beta 122.47
_cell_angle_gamma 90.00
_symmetry_space_group_name_H-M 'P 1'
_symmetry_Int_Tables_number 1
_symmetry_space_group_name_Hall 'P 1'
loop_
_atom_site_label
_atom_site_type_symbol
_atom_site_fract_x
_atom_site_fract_y
_atom_site_fract_z
Pt1 Pt 0.325 0.189 0.297
Pt2 Pt 0.780 0.804 0.094
Pt3 Pt 0.085 0.575 0.500
Pt4 Pt 0.220 0.710 0.906
Pt5 Pt 0.186 0.210 0.906
Pt6 Pt 0.675 0.892 0.703
Pt7 Pt 0.915 0.075 0.500
Pt8 Pt 0.472 0.689 0.297
Pt9 Pt 0.814 0.304 0.094
Pt10 Pt 0.528 0.392 0.703
Pd1 Pd 0.869 0.433 0.790
Pd2 Pd 0.131 0.643 0.210
Pd3 Pd 0.580 0.143 0.210
Pd4 Pd 0.420 0.933 0.790
Ga1 Ga 0.196 0.105 0.500
Ga2 Ga 0.500 0.485 0.000
Ga3 Ga 0.804 0.605 0.500
Ga4 Ga 0.000 0.985 0.000
```